# NdSmPdPb, optimized geometry, DFT PBE
data_NdSmPdPb
_cell_length_a 7.561
_cell_length_b 7.561
_cell_length_c 7.561
_cell_angle_alpha 90.00
_cell_angle_beta 90.00
_cell_angle_gamma 90.00
_space_group_name_H-M_alt 'F -4 3 m'
_space_group_IT_number 216
_space_group_name_Hall 'F -4 2 3'
loop_
_atom_site_label
_atom_site_type_symbol
_atom_site_fract_x
_atom_site_fract_y
_atom_site_fract_z
Nd1 Nd 0.000 0.000 0.000
Sm1 Sm 0.000 0.000 0.500
Pd1 Pd 0.250 0.250 0.250
Pb1 Pb 0.250 0.250 0.750
# - DOS at the Fermi energy: 8.408 states/eV per cell
# - Energy relative to the elements: -583.6 meV per atom
# - Size of the total moment: 0.0 μB/f.u.

---

# Nd2Sn3Pd4Pb, optimized geometry, DFT PBE
data_Nd2Sn3Pd4Pb
_cell_length_a 4.590
_cell_length_b 4.590
_cell_length_c 10.988
_cell_angle_alpha 90.00
_cell_angle_beta 90.00
_cell_angle_gamma 90.00
_space_group_name_H-M_alt 'P -4 m 2'
_space_group_IT_number 115
loop_
_space_group_symop_operation_xyz
'x,y,z'
'y,-x,-z'
'-x,-y,z'
'-y,x,-z'
'-x,y,z'
'-y,-x,-z'
'x,-y,z'
'y,x,-z'
loop_
_atom_site_label
_atom_site_type_symbol
_atom_site_fract_x
_atom_site_fract_y
_atom_site_fract_z
Nd1 Nd 0.000 0.500 0.235
Sn1 Sn 0.000 0.500 0.875
Sn2 Sn 0.500 0.500 0.500
Pd1 Pd 0.000 0.000 0.000
Pd2 Pd 0.000 0.500 0.641
Pd3 Pd 0.500 0.500 0.000
Pb1 Pb 0.000 0.000 0.500
# - DOS at the Fermi energy: 5.154 states/eV per cell
# - Energy relative to the elements: -696.9 meV per atom
# - Size of the total moment: 0.0 μB/f.u.

---

# SrNdPdPb, optimized geometry, DFT PBE
data_SrNdPdPb
_cell_length_a 7.708
_cell_length_b 7.708
_cell_length_c 7.708
_cell_angle_alpha 90.00
_cell_angle_beta 90.00
_cell_angle_gamma 90.00
_space_group_name_H-M_alt 'F -4 3 m'
_space_group_IT_number 216
_space_group_name_Hall 'F -4 2 3'
loop_
_atom_site_label
_atom_site_type_symbol
_atom_site_fract_x
_atom_site_fract_y
_atom_site_fract_z
Sr1 Sr 0.000 0.000 0.000
Nd1 Nd 0.000 0.000 0.500
Pd1 Pd 0.250 0.250 0.750
Pb1 Pb 0.250 0.250 0.250
# - DOS at the Fermi energy: 11.222 states/eV per cell
# - Energy relative to the elements: -512.6 meV per atom
# - Size of the total moment: 0.0 μB/f.u.

---

# Sr2NdPd4Pb3, optimized geometry, DFT PBE
data_Sr2NdPd4Pb3
_cell_length_a 4.792
_cell_length_b 4.792
_cell_length_c 11.512
_cell_angle_alpha 90.00
_cell_angle_beta 90.00
_cell_angle_gamma 90.00
_space_group_name_H-M_alt 'P -4 m 2'
_space_group_IT_number 115
loop_
_space_group_symop_operation_xyz
'x,y,z'
'y,-x,-z'
'-x,-y,z'
'-y,x,-z'
'-x,y,z'
'-y,-x,-z'
'x,-y,z'
'y,x,-z'
loop_
_atom_site_label
_atom_site_type_symbol
_atom_site_fract_x
_atom_site_fract_y
_atom_site_fract_z
Sr1 Sr 0.000 0.500 0.221
Nd1 Nd 0.000 0.000 0.500
Pd1 Pd 0.000 0.000 0.000
Pd2 Pd 0.000 0.500 0.645
Pd3 Pd 0.500 0.500 0.000
Pb1 Pb 0.000 0.500 0.880
Pb2 Pb 0.500 0.500 0.500
# - DOS at the Fermi energy: 4.639 states/eV per cell
# - Energy relative to the elements: -562.7 meV per atom
# - Size of the total moment: 0.0 μB/f.u.

---

# NdTlPdPb, optimized geometry, DFT PBE
data_NdTlPdPb
_cell_length_a 7.381
_cell_length_b 7.381
_cell_length_c 7.381
_cell_angle_alpha 90.00
_cell_angle_beta 90.00
_cell_angle_gamma 90.00
_space_group_name_H-M_alt 'F -4 3 m'
_space_group_IT_number 216
_space_group_name_Hall 'F -4 2 3'
loop_
_atom_site_label
_atom_site_type_symbol
_atom_site_fract_x
_atom_site_fract_y
_atom_site_fract_z
Nd1 Nd 0.000 0.000 0.000
Tl1 Tl 0.250 0.250 0.750
Pd1 Pd 0.250 0.250 0.250
Pb1 Pb 0.000 0.000 0.500
# - DOS at the Fermi energy: 3.223 states/eV per cell
# - Energy relative to the elements: -380.2 meV per atom
# - Size of the total moment: 0.0 μB/f.u.

---

# NdYPdPb, optimized geometry, DFT PBE
data_NdYPdPb
_cell_length_a 7.497
_cell_length_b 7.497
_cell_length_c 7.497
_cell_angle_alpha 90.00
_cell_angle_beta 90.00
_cell_angle_gamma 90.00
_space_group_name_H-M_alt 'F -4 3 m'
_space_group_IT_number 216
_space_group_name_Hall 'F -4 2 3'
loop_
_atom_site_label
_atom_site_type_symbol
_atom_site_fract_x
_atom_site_fract_y
_atom_site_fract_z
Nd1 Nd 0.000 0.000 0.000
Y1 Y 0.000 0.000 0.500
Pd1 Pd 0.250 0.250 0.250
Pb1 Pb 0.250 0.250 0.750
# - DOS at the Fermi energy: 9.049 states/eV per cell
# - Energy relative to the elements: -602.9 meV per atom
# - Size of the total moment: 0.0 μB/f.u.

---

Question: Among the records above, which one has the lowest energy relative to the elements?
Answer: Nd2Sn3Pd4Pb

---

Question: What is the energy relative to the elements in the fourth record?
Answer: -562.7 meV per atom

---

Question: Which value of size of the total moment does entry 5 give?
Answer: 0.0 μB/f.u.